1.
ThTiTl | PBE-GGA | optimized geometry

ΔE to the lowest computed polymorph, meV/atom: 0
Formation enthalpy at 0 K, kJ/mol of formula units: 44

Structure (POSCAR):
```
ThTiTl
1.0
-1.314 4.341 1.651
0.202 -1.926 5.223
6.153 -0.321 -1.315
Tl Ti Th
2 2 2
Direct
0.416 0.239 0.833 Tl
0.584 0.761 0.167 Tl
0.785 0.140 0.570 Ti
0.215 0.860 0.430 Ti
0.880 0.688 0.761 Th
0.120 0.312 0.239 Th
```

***

2.
Pm2CoIr | PBE-GGA | optimized geometry

ΔE to the lowest computed polymorph, meV/atom: 0
Formation enthalpy at 0 K, kJ/mol of formula units: -155

Structure (POSCAR):
```
Pm2CoIr
1.0
4.094 0.000 0.000
0.000 5.312 -2.083
0.000 0.026 8.264
Pm Co Ir
4 2 2
Direct
0.250 0.790 0.071 Pm
0.250 0.793 0.575 Pm
0.750 0.207 0.425 Pm
0.750 0.210 0.929 Pm
0.750 0.629 0.283 Co
0.250 0.371 0.717 Co
0.750 0.626 0.781 Ir
0.250 0.374 0.219 Ir
```

***

3.
UPa2Au | PBE-GGA | optimized geometry

ΔE to the lowest computed polymorph, meV/atom: 155
Formation enthalpy at 0 K, kJ/mol of formula units: -6

Structure (POSCAR):
```
UPa2Au
1.0
3.607 0.000 0.000
0.000 3.607 0.000
0.000 0.000 6.966
Pa U Au
2 1 1
Direct
0.000 0.000 0.233 Pa
0.000 0.000 0.767 Pa
0.500 0.500 0.000 U
0.500 0.500 0.500 Au
```

***

4.
PdF | PBE-GGA | optimized geometry

ΔE to the lowest computed polymorph, meV/atom: 201
Formation energy from raw total energies, eV/atom: -0.52

Structure (POSCAR):
```
PdF
1.0
-2.757 5.154 6.696
-3.328 1.134 -2.243
-2.757 -4.097 2.019
F Pd
6 6
Direct
0.276 0.471 0.500 F
0.224 0.529 0.000 F
0.500 0.171 0.000 F
0.724 0.471 0.500 F
0.776 0.529 0.000 F
0.000 0.829 0.500 F
0.239 0.968 0.500 Pd
0.761 0.968 0.500 Pd
0.500 0.226 0.500 Pd
0.000 0.774 0.000 Pd
0.739 0.032 0.000 Pd
0.261 0.032 0.000 Pd
```

***

5.
BaTlAs2 | PBE-GGA | optimized geometry

ΔE to the lowest computed polymorph, meV/atom: 171
Formation enthalpy at 0 K, kJ/mol of formula units: -128

Structure (POSCAR):
```
BaTlAs2
1.0
8.061 0.000 0.000
0.000 8.061 0.000
4.030 4.030 3.906
As Ba Tl
4 2 2
Direct
0.875 0.934 0.750 As
0.066 0.625 0.250 As
0.375 0.316 0.750 As
0.684 0.125 0.250 As
0.250 0.750 0.500 Ba
0.500 0.500 0.000 Ba
0.000 0.000 0.000 Tl
0.750 0.250 0.500 Tl
```

***

6.
Ca3VPt | PBE-GGA | optimized geometry

ΔE to the lowest computed polymorph, meV/atom: 0
Formation enthalpy at 0 K, kJ/mol of formula units: 51

Structure (POSCAR):
```
Ca3VPt
1.0
-0.773 5.183 -1.689
-5.086 -1.300 -1.660
-1.962 1.327 4.970
Ca Pt V
3 1 1
Direct
0.500 0.000 0.000 Ca
0.000 0.000 0.500 Ca
0.000 0.500 0.000 Ca
0.000 0.000 0.000 Pt
0.500 0.500 0.500 V
```

***

7.
K2SrTc | PBE-GGA | optimized geometry

ΔE to the lowest computed polymorph, meV/atom: 266
Formation enthalpy at 0 K, kJ/mol of formula units: 436

Structure (POSCAR):
```
K2SrTc
1.0
-3.952 1.160 2.571
0.065 -4.387 2.079
6.014 3.260 12.358
K Sr Tc
4 2 2
Direct
0.104 0.625 0.250 K
0.646 0.125 0.250 K
0.875 0.896 0.750 K
0.375 0.354 0.750 K
0.250 0.750 0.500 Sr
0.500 0.500 0.000 Sr
0.000 0.000 0.000 Tc
0.750 0.250 0.500 Tc
```

***

8.
Pm4Y5 | PBE-GGA | optimized geometry

Formation enthalpy at 0 K, kJ/mol of formula units: 14

Structure (POSCAR):
```
Pm4Y5
1.0
-2.965 -3.711 -1.832
4.439 -4.634 -4.890
0.413 -6.306 5.015
Pm Y
4 5
Direct
0.667 0.667 0.000 Pm
0.333 0.667 0.667 Pm
0.667 0.333 0.333 Pm
0.333 0.000 0.333 Pm
0.000 0.333 0.667 Y
0.667 0.000 0.667 Y
0.000 0.667 0.333 Y
0.333 0.333 0.000 Y
0.000 0.000 0.000 Y
```

***

Number 1: mass density 10.4 g cm⁻³, M_tot 0.00 μB/f.u.. Number 2: mass density 10.0 g cm⁻³, M_tot 0.00 μB/f.u.. Number 3: mass density 16.4 g cm⁻³, M_tot 0.00 μB/f.u.. Number 4: mass density 6.3 g cm⁻³, M_tot 0.00 μB/f.u.. Number 5: mass density 6.4 g cm⁻³, M_tot 0.00 μB/f.u.. Number 6: mass density 3.6 g cm⁻³, M_tot 4.37 μB/f.u.. Number 7: mass density 2.7 g cm⁻³, M_tot 3.04 μB/f.u.. Number 8: mass density 5.7 g cm⁻³, M_tot 0.00 μB/f.u..